# 1
## Tc2PtSe (PBE-GGA)

Data for a geometry-optimized Tc2PtSe structure.

POSCAR file:
```
Tc2PtSe
1.0
2.8847 0.0000 0.0000
0.0000 3.8201 0.0000
0.0000 0.0000 5.8294
Pt Se Tc
1 1 2
direct
0.0000 0.0000 0.4708
0.5000 0.5000 0.7962
0.0000 0.0000 0.0146
0.5000 0.5000 0.2184
```

Output
As for the uncorrected formation energy: 0.172 eV/atom. As for the symmetry: No. 25. The calculation puts the total energy at -7.39 eV/atom.



# 2
## Tl2As2Pb (PBE-GGA)

Data for a geometry-optimized Tl2As2Pb structure.

POSCAR file:
```
Tl2As2Pb
1.0
4.4841 0.0000 0.0000
0.0000 4.4841 0.0000
2.2421 2.2421 7.1248
Pb Tl As
1 2 2
direct
0.0000 0.0000 0.0000
0.7500 0.2500 0.5000
0.2500 0.7500 0.5000
0.4137 0.4137 0.1725
0.5863 0.5863 0.8275
```

Output
As for the symmetry: No. 139. The calculation puts the total energy at -3.43 eV/atom. For the distance to the lowest polymorph of the same formula, the calculation gives 96 meV/atom.



# 3
## CePmNdIn (PBE-GGA)

Data for a geometry-optimized CePmNdIn structure.

POSCAR file:
```
CePmNdIn
1.0
-3.7330 -3.3901 -2.2237
-0.2500 -5.2634 1.6145
-4.2663 -1.7583 3.0133
In Nd Ce Pm
1 1 1 1
direct
0.2500 0.2500 0.2500
0.5000 0.5000 0.5000
0.7500 0.7500 0.7500
0.0000 0.0000 0.0000
```

Output
As for the symmetry: No. 216. The calculation puts the total energy at -4.64 eV/atom.



# 4
## AcPr3Nd3 (PBE-GGA)

Data for a geometry-optimized AcPr3Nd3 structure.

POSCAR file:
```
AcPr3Nd3
1.0
-5.5003 -0.3020 2.4999
4.1140 -2.5579 8.7429
-1.5195 9.6358 -2.1794
Ac Pr Nd
2 6 6
direct
0.2500 0.6667 0.3333
0.7500 0.3333 0.6667
0.7500 0.6224 0.5285
0.7500 0.4715 0.0939
0.7500 0.9061 0.3776
0.2500 0.3776 0.4715
0.2500 0.5285 0.9061
0.2500 0.0939 0.6224
0.2500 0.8108 0.7665
0.2500 0.2335 0.0443
0.2500 0.9557 0.1892
0.7500 0.1892 0.2335
0.7500 0.7665 0.9557
0.7500 0.0443 0.8108
```

Output
As for the symmetry: No. 176. The calculation puts the total energy at -4.64 eV/atom. For the distance to the lowest polymorph of the same formula, the calculation gives 19 meV/atom.



Number 1: calculated volume 64.2 Å³/cell. Number 2: calculated volume 143.3 Å³/cell. Number 3: calculated volume 118.4 Å³/cell. Number 4: calculated volume 523.4 Å³/cell.